Here is a relaxed Ba3Zn3Pd crystal from the Alexandria database. Energies are from GGA-PBE.

Computed properties:
E_form = -0.307 eV per atom
Energy = -2.419 eV per atom

a = 12.1574 Å, b = 4.5568 Å, c = 16.7875 Å
α = 90.00°, β = 107.93°, γ = 90.00°
Space group C2/m (No. 12)
Unique sites:
Ba (0.0216, 0.0000, 0.3931)
Ba (0.1058, 0.0000, 0.9202)
Ba (0.2473, 0.0000, 0.2411)
Zn (0.0484, 0.5000, 0.2411)
Zn (0.0972, 0.5000, 0.0808)
Zn (0.1862, 0.5000, 0.5377)
Pd (0.2250, 0.5000, 0.3871)

***

Here is a relaxed KCaGa crystal from the Alexandria database. Energies are from GGA-PBE.

Computed properties:
E_form = -0.005 eV per atom
Energy = -2.047 eV per atom

a = 10.2382 Å, b = 5.2208 Å, c = 10.4392 Å
α = 90.00°, β = 100.86°, γ = 90.00°
Space group C2/m (No. 12)
Unique sites:
K (0.1230, 0.0000, 0.3569)
Ca (0.2265, 0.0000, 0.8776)
Ga (0.0000, 0.2510, 0.0000)

***

Here is a relaxed B2Pt5 crystal from the Alexandria database. Energies are from GGA-PBE.

Computed properties:
E_form = -0.214 eV per atom
Excess energy over the best structure of this formula in the dataset = 0 meV per atom
Energy = -6.437 eV per atom

a = 13.8139 Å, b = 4.8332 Å, c = 5.9303 Å
α = 90.00°, β = 103.78°, γ = 90.00°
Space group C2/c (No. 15)
Unique sites:
B (0.1472, 0.2404, 0.2904)
Pt (0.0000, 0.4214, 0.2500)
Pt (0.0921, 0.1024, 0.9439)
Pt (0.1972, 0.3846, 0.6487)

***

Here is a relaxed PrSc4Au3O12 crystal from the Alexandria database. Energies are from GGA-PBE.

Computed properties:
Energy = -7.207 eV per atom
E_form (uncorrected) = -2.235 eV per atom

a = 7.9129 Å, b = 7.9129 Å, c = 7.9129 Å
α = 90.00°, β = 90.00°, γ = 90.00°
Space group Im-3 (No. 204)
Unique sites:
Pr (0.0000, 0.0000, 0.0000)
Sc (0.2500, 0.2500, 0.2500)
Au (0.0000, 0.0000, 0.5000)
O (0.0000, 0.1650, 0.2992)

***

Here is a relaxed PrY4 crystal from the Alexandria database. Energies are from GGA-PBE.

Computed properties:
E_form = 0.019 eV per atom
Excess energy over the best structure of this formula in the dataset = 0 meV per atom
Energy = -6.108 eV per atom

a = 6.2401 Å, b = 3.6037 Å, c = 14.7781 Å
α = 90.00°, β = 97.98°, γ = 90.00°
Space group C2/m (No. 12)
Unique sites:
Pr (0.0000, 0.0000, 0.0000)
Y (0.0998, 0.5000, 0.7968)
Y (0.1997, 0.0000, 0.5993)

***

Here is a relaxed Tb2YTm3Sb6 crystal from the Alexandria database. Energies are from GGA-PBE.

Computed properties:
Energy = -5.600 eV per atom
E_form (uncorrected) = -1.111 eV per atom

a = 19.0362 Å, b = 4.3678 Å, c = 8.7360 Å
α = 90.00°, β = 103.19°, γ = 90.00°
Space group C2/m (No. 12)
Unique sites:
Tb (0.1665, 0.0000, 0.3331)
Y (0.0000, 0.5000, 0.0000)
Tm (0.0000, 0.5000, 0.5000)
Tm (0.1668, 0.0000, 0.8333)
Sb (0.0012, 0.0000, 0.7479)
Sb (0.1657, 0.5000, 0.5858)
Sb (0.1675, 0.5000, 0.0805)